1.
Material: RbNaHf2Pb
Method: DFT, PBE-GGA
State: optimized geometry

Geometry as POSCAR:
```
RbNaHf2Pb
1.0
5.623 0.000 0.000
0.000 6.197 0.000
0.000 0.000 5.623
Pb Na Rb Hf
1 1 1 2
Direct
0.000 0.000 0.000
0.000 0.500 0.000
0.500 0.500 0.500
0.000 0.000 0.500
0.500 0.000 0.000
```

Summary:
Spin magnetization in μB/f.u.: 3.63
Volume in Å³/f.u.: 196
Energy in eV per atom: -4.126
Space group: P4/mmm, No. 123
Calculated formation energy in eV per atom: 1.054
Crystal system: tetragonal



2.
Material: NaHfRePb2
Method: DFT, PBE-GGA
State: optimized geometry

Geometry as POSCAR:
```
NaHfRePb2
1.0
-5.365 -0.773 1.742
1.643 -1.090 4.576
-0.329 5.502 1.429
Pb Na Hf Re
2 1 1 1
Direct
0.000 0.000 0.500
0.500 0.000 0.000
0.500 0.500 0.500
0.000 0.000 0.000
0.000 0.500 0.000
```

Summary:
Spin magnetization in μB/f.u.: 2.16
Volume in Å³/f.u.: 162
Energy in eV per atom: -5.250
Space group: P4/mmm, No. 123
Calculated formation energy in eV per atom: 0.977
Crystal system: tetragonal



3.
Material: Na2Hf3PbS8
Method: DFT, PBE-GGA
State: optimized geometry

Geometry as POSCAR:
```
Na2Hf3PbS8
1.0
-2.837 -5.665 4.177
1.241 -7.205 -2.035
5.410 -4.374 4.635
S Hf Na Pb
8 3 2 1
Direct
0.301 0.746 0.206
0.746 0.301 0.206
0.240 0.240 0.808
0.746 0.746 0.206
0.713 0.240 0.808
0.265 0.265 0.205
0.731 0.731 0.808
0.240 0.713 0.808
0.498 0.008 0.995
0.498 0.498 0.995
0.008 0.498 0.995
0.495 0.495 0.515
0.132 0.132 0.603
0.878 0.878 0.365
```

Summary:
Spin magnetization in μB/f.u.: 0.00
Volume in Å³/f.u.: 355
Energy in eV per atom: -6.273
Space group: R3m, No. 160
Energy relative to the elements, uncorrected in eV/atom: -1.3287
Crystal system: trigonal



4.
Material: Na3HfPb2Se6
Method: DFT, PBE-GGA
State: optimized geometry

Geometry as POSCAR:
```
Na3HfPb2Se6
1.0
7.274 -0.003 -0.013
-3.638 6.299 -0.013
-1.226 -2.122 6.963
Pb Na Se Hf
2 3 6 1
Direct
0.665 0.335 0.000
0.335 0.665 0.000
0.825 0.175 0.500
0.175 0.825 0.500
0.500 0.500 0.500
0.923 0.621 0.769
0.778 0.778 0.230
0.077 0.379 0.231
0.379 0.077 0.231
0.621 0.923 0.769
0.222 0.222 0.770
0.000 0.000 0.000
```

Summary:
Spin magnetization in μB/f.u.: 0.00
Volume in Å³/f.u.: 319
Energy in eV per atom: -4.480
Space group: C2/m, No. 12
Energy relative to the elements, uncorrected in eV/atom: -0.9602
Crystal system: monoclinic



5.
Material: Na2HfPb3Se6
Method: DFT, PBE-GGA
State: optimized geometry

Geometry as POSCAR:
```
Na2HfPb3Se6
1.0
-0.802 -5.792 -4.531
0.193 -1.061 7.318
-6.651 2.952 -0.620
Pb Se Hf Na
3 6 1 2
Direct
0.836 0.164 0.500
0.164 0.836 0.500
0.500 0.500 0.500
0.076 0.376 0.222
0.624 0.924 0.778
0.376 0.076 0.222
0.924 0.624 0.778
0.775 0.775 0.235
0.225 0.225 0.765
0.000 0.000 0.000
0.668 0.332 0.000
0.332 0.668 0.000
```

Summary:
Spin magnetization in μB/f.u.: 0.00
Volume in Å³/f.u.: 327
Energy in eV per atom: -4.626
Space group: C2/m, No. 12
Energy relative to the elements, uncorrected in eV/atom: -0.9074
Crystal system: monoclinic



6.
Material: NaSrHf2Pb
Method: DFT, PBE-GGA
State: optimized geometry

Geometry as POSCAR:
```
NaSrHf2Pb
1.0
-1.774 -2.933 4.345
-1.888 -4.571 -3.856
4.970 -2.399 0.411
Hf Sr Na Pb
2 1 1 1
Direct
0.500 0.000 0.000
0.000 0.000 0.500
0.000 0.500 0.000
0.500 0.500 0.500
0.000 0.000 0.000
```

Summary:
Spin magnetization in μB/f.u.: 1.88
Volume in Å³/f.u.: 192
Energy in eV per atom: -4.350
Space group: P4/mmm, No. 123
Calculated formation energy in eV per atom: 0.973
Crystal system: tetragonal



7.
Material: Na3HfTe6Pb2
Method: DFT, PBE-GGA
State: optimized geometry

Geometry as POSCAR:
```
Na3HfTe6Pb2
1.0
7.745 -0.005 -0.010
-3.875 6.706 -0.010
-1.301 -2.253 7.489
Na Te Pb Hf
3 6 2 1
Direct
0.821 0.179 0.500
0.500 0.500 0.500
0.179 0.821 0.500
0.924 0.618 0.770
0.618 0.924 0.770
0.076 0.382 0.230
0.777 0.777 0.233
0.223 0.223 0.767
0.382 0.076 0.230
0.336 0.664 0.000
0.664 0.336 0.000
0.000 0.000 0.000
```

Summary:
Spin magnetization in μB/f.u.: 0.00
Volume in Å³/f.u.: 388
Energy in eV per atom: -4.031
Space group: C2/m, No. 12
Energy relative to the elements, uncorrected in eV/atom: -0.6834
Crystal system: monoclinic



8.
Material: Na2HfTe6Pb3
Method: DFT, PBE-GGA
State: optimized geometry

Geometry as POSCAR:
```
Na2HfTe6Pb3
1.0
7.877 0.018 0.013
-3.921 6.831 0.013
-1.308 -2.265 7.320
Na Pb Te Hf
2 3 6 1
Direct
0.668 0.332 0.000
0.332 0.668 0.000
0.164 0.836 0.500
0.836 0.164 0.500
0.500 0.500 0.500
0.228 0.228 0.763
0.619 0.923 0.773
0.077 0.381 0.227
0.923 0.619 0.773
0.381 0.077 0.227
0.772 0.772 0.237
0.000 0.000 0.000
```

Summary:
Spin magnetization in μB/f.u.: 0.00
Volume in Å³/f.u.: 395
Energy in eV per atom: -4.178
Space group: C2/m, No. 12
Energy relative to the elements, uncorrected in eV/atom: -0.6308
Crystal system: monoclinic



9.
Material: Na2HfTe4Pb
Method: DFT, PBE-GGA
State: optimized geometry

Geometry as POSCAR:
```
Na2HfTe4Pb
1.0
4.344 0.000 0.000
0.000 7.828 0.249
0.000 -2.623 7.413
Te Na Pb Hf
4 2 1 1
Direct
0.500 0.274 0.232
0.000 0.717 0.219
0.500 0.726 0.768
0.000 0.283 0.781
0.000 0.500 0.500
0.500 0.000 0.500
0.000 0.000 0.000
0.500 0.500 0.000
```

Summary:
Spin magnetization in μB/f.u.: 0.00
Volume in Å³/f.u.: 255
Energy in eV per atom: -4.362
Space group: P2/m, No. 10
Energy relative to the elements, uncorrected in eV/atom: -0.7539
Crystal system: monoclinic



10.
Material: NaHfTi2Pb
Method: DFT, PBE-GGA
State: optimized geometry

Geometry as POSCAR:
```
NaHfTi2Pb
1.0
-1.301 4.540 -2.124
-5.113 -0.796 1.431
0.895 2.370 4.516
Pb Hf Na Ti
1 1 1 2
Direct
0.000 0.500 0.000
0.500 0.500 0.500
0.000 0.000 0.000
0.500 0.000 0.000
0.000 0.000 0.500
```

Summary:
Spin magnetization in μB/f.u.: 4.40
Volume in Å³/f.u.: 144
Energy in eV per atom: -4.664
Space group: P4/mmm, No. 123
Calculated formation energy in eV per atom: 1.490
Crystal system: tetragonal



11.
Material: NaHfPbW2
Method: DFT, PBE-GGA
State: optimized geometry

Geometry as POSCAR:
```
NaHfPbW2
1.0
4.706 0.000 0.000
0.000 4.719 0.000
0.000 0.000 4.706
W Pb Na Hf
2 1 1 1
Direct
0.000 0.000 0.500
0.500 0.000 0.000
0.500 0.500 0.500
0.000 0.000 0.000
0.000 0.500 0.000
```

Summary:
Spin magnetization in μB/f.u.: 0.00
Volume in Å³/f.u.: 105
Energy in eV per atom: -5.817
Space group: P4/mmm, No. 123
Calculated formation energy in eV per atom: 2.361
Crystal system: tetragonal



12.
Material: NaHf3Pd
Method: DFT, PBE-GGA
State: optimized geometry

Geometry as POSCAR:
```
NaHf3Pd
1.0
5.111 0.000 0.000
0.000 5.111 0.000
0.000 0.000 5.111
Pd Na Hf
1 1 3
Direct
0.000 0.000 0.000
0.500 0.500 0.500
0.000 0.000 0.500
0.500 0.000 0.000
0.000 0.500 0.000
```

Summary:
Spin magnetization in μB/f.u.: 0.00
Volume in Å³/f.u.: 134
Energy in eV per atom: -6.649
Space group: Pm-3m, No. 221
Calculated formation energy in eV per atom: 0.626
Excess energy over the best structure of this formula in the dataset in kJ/mol of formula units: 0.0
Crystal system: cubic